Entry 1:
Entry from Alexandria via LeMat-Bulk: a crystal of Li2InSi relaxed with PBEsol (meta-GGA SCAN).

Volume in Å³/cell: 66.3
Uncorrected energy in eV/atom: -12.190
ΔE_f (raw) in eV per atom: -0.14
M_tot in Bohr magnetons per cell: 0.0
Crystal system: orthorhombic

a = 2.7812 Å, b = 5.0737 Å, c = 5.0737 Å
α = 112.12°, β = 90.00°, γ = 90.00°
Last column: nearest neighbours and their distance in Å.
Fractional positions:
Li (0.0000, 0.0000, 0.5000)  4 Li 2.78-2.83, 4 Si 2.89, 4 In 2.89
In (0.5000, 0.5000, 0.5000)  2 In 2.78, 2 Si 2.83, 8 Li 2.89
Si (0.5000, 0.0000, 0.0000)  2 Si 2.78, 2 In 2.83, 8 Li 2.89
Li (0.0000, 0.5000, 0.0000)  4 Li 2.78-2.83, 4 In 2.89, 4 Si 2.89

***

Entry 2:
Entry from Alexandria via LeMat-Bulk: a crystal of ZrZn2Au relaxed with PBEsol (meta-GGA SCAN).

Volume in Å³/cell: 66.0
Uncorrected energy in eV/atom: -32.185
ΔH_f (0 K) in eV per formula unit: -1.9
M_tot in Bohr magnetons per cell: 0.0
Crystal system: tetragonal

a = 4.5524 Å, b = 4.5297 Å, c = 4.5524 Å
α = 59.83°, β = 90.00°, γ = 120.17°
Last column: nearest neighbours and their distance in Å.
Fractional positions:
Zn (0.0000, 0.0000, 0.0000)  4 Zn 2.78, 4 Au 2.78
Zr (0.5000, 0.0000, 0.5000)  4 Zn 2.78, 4 Au 2.78
Au (0.7500, 0.5000, 0.7500)  4 Zr 2.78, 4 Zn 2.78
Zn (0.2500, 0.5000, 0.2500)  4 Zn 2.78, 4 Zr 2.78

***

Entry 3:
Entry from Alexandria via LeMat-Bulk: a crystal of TaSi2Ir relaxed with PBEsol (meta-GGA SCAN).

Volume in Å³/cell: 58.3
Uncorrected energy in eV/atom: -39.899
ΔE_f (raw) in eV per atom: -0.47
M_tot in Bohr magnetons per cell: 0.0
Crystal system: orthorhombic

a = 2.8645 Å, b = 3.8803 Å, c = 5.2432 Å
α = 90.00°, β = 90.00°, γ = 90.00°
Last column: nearest neighbours and their distance in Å.
Fractional positions:
Si (0.0000, 0.0000, 0.2598)  2 Ir 2.37, 1 Si 2.52
Ir (0.0000, 0.5000, 0.0000)  4 Si 2.37
Ta (0.5000, 0.5000, 0.5000)  8 Si 2.72, 2 Ta 2.86, 4 Ir 2.99
Si (0.0000, 0.0000, 0.7402)  2 Ir 2.37, 1 Si 2.52

***

Entry 4:
Entry from Alexandria via LeMat-Bulk: a crystal of BaBiP2Cl relaxed with PBEsol (meta-GGA SCAN).

Volume in Å³/cell: 168.4
Uncorrected energy in eV/atom: -28.730
ΔE_f (raw) in eV per atom: 0.65
M_tot in Bohr magnetons per cell: 0.0
Crystal system: tetragonal

a = 5.4448 Å, b = 5.5621 Å, c = 5.5621 Å
α = 90.00°, β = 90.00°, γ = 90.00°
Last column: nearest neighbours and their distance in Å.
Fractional positions:
P (0.0000, 0.0000, 0.5000)  2 Ba 2.78
Ba (0.0000, 0.0000, 0.0000)  2 Cl 2.72, 4 P 2.78
Bi (0.5000, 0.5000, 0.5000)  8 P 3.89, 4 Cl 3.93
Cl (0.5000, 0.0000, 0.0000)  2 Ba 2.72
P (0.0000, 0.5000, 0.0000)  2 Ba 2.78

***

Entry 5:
Entry from Alexandria via LeMat-Bulk: a crystal of Na4Sb2C4SO16 relaxed with PBEsol (meta-GGA SCAN).

Volume in Å³/cell: 749.5
Uncorrected energy in eV/atom: -10.505
Distance to the lowest polymorph of the same formula in meV per atom: 3
ΔE_f (raw) in eV per atom: -1.58
M_tot in Bohr magnetons per cell: 0.4
Crystal system: orthorhombic

a = 9.9426 Å, b = 9.9426 Å, c = 10.2984 Å
α = 118.31°, β = 118.31°, γ = 91.01°
Last column: nearest neighbours and their distance in Å.
Fractional positions:
O (0.0324, 0.7100, 0.8091)  1 C 1.30
Na (0.2971, 0.7029, 0.0000)  6 O 2.34-2.49
S (0.5000, 0.5000, 0.0000)  4 O 1.49
C (0.9096, 0.7132, 0.8246)  3 O 1.29-1.30
Sb (0.1250, 0.8750, 0.2500)  6 O 2.28-2.31
O (0.6816, 0.3048, 0.6110)  1 S 1.49
Na (0.9529, 0.0471, 0.5000)  6 O 2.34-2.49
O (0.2176, 0.0400, 0.6909)  1 C 1.30
S (0.7500, 0.2500, 0.5000)  4 O 1.49
Na (0.7029, 0.2971, 0.0000)  6 O 2.34-2.49
O (0.2470, 0.6782, 0.2037)  1 C 1.30
Sb (0.1250, 0.8750, 0.7500)  6 O 2.28-2.31
C (0.2868, 0.0904, 0.1754)  3 O 1.29-1.30
O (0.6952, 0.3184, 0.3890)  1 S 1.49
Na (0.5458, 0.0458, 0.5000)  4 O 2.32-2.41
O (0.6938, 0.0706, 0.3890)  1 S 1.49
O (0.4734, 0.6509, 0.6909)  1 C 1.30
O (0.7766, 0.0991, 0.8091)  1 C 1.30
O (0.0378, 0.2365, 0.9593)  1 C 1.29
C (0.9632, 0.6596, 0.3246)  3 O 1.29-1.30
O (0.4865, 0.7878, 0.4593)  1 C 1.29
O (0.7635, 0.9622, 0.0407)  1 C 1.29
Na (0.9542, 0.4542, 0.5000)  4 O 2.32-2.41
O (0.0030, 0.0718, 0.2963)  1 C 1.30
O (0.2933, 0.2245, 0.2963)  1 C 1.30
Sb (0.1250, 0.3750, 0.2500)  6 O 2.28-2.31
C (0.3614, 0.6649, 0.3246)  3 O 1.29-1.30
C (0.3404, 0.0368, 0.6754)  3 O 1.29-1.30
O (0.9009, 0.2234, 0.1909)  1 C 1.30
O (0.5684, 0.4452, 0.8890)  1 S 1.49
Na (0.2958, 0.2958, 0.0000)  4 O 2.32-2.41
O (0.3218, 0.7530, 0.7963)  1 C 1.30
O (0.9215, 0.7228, 0.9593)  1 C 1.29
O (0.3491, 0.5266, 0.3091)  1 C 1.30
O (0.9294, 0.3062, 0.6110)  1 S 1.49
O (0.3285, 0.0272, 0.5407)  1 C 1.29
O (0.9600, 0.7824, 0.3091)  1 C 1.30
O (0.2900, 0.9676, 0.1909)  1 C 1.30
O (0.2772, 0.0785, 0.0407)  1 C 1.29
Sb (0.6250, 0.8750, 0.7500)  6 O 2.28-2.31
O (0.5562, 0.6794, 0.1110)  1 S 1.49
O (0.5548, 0.4316, 0.1110)  1 S 1.49
O (0.9567, 0.5255, 0.2037)  1 C 1.30
O (0.7755, 0.7067, 0.7037)  1 C 1.30
C (0.3351, 0.6386, 0.6754)  3 O 1.29-1.30
O (0.9282, 0.9970, 0.7037)  1 C 1.30
Na (0.7042, 0.7042, 0.0000)  4 O 2.32-2.41
C (0.8886, 0.0851, 0.1754)  3 O 1.29-1.30
O (0.2122, 0.5135, 0.5407)  1 C 1.29
O (0.9728, 0.6715, 0.4593)  1 C 1.29
Na (0.5471, 0.4529, 0.5000)  6 O 2.34-2.49
O (0.3206, 0.4438, 0.8890)  1 S 1.49
C (0.9149, 0.1114, 0.8246)  3 O 1.29-1.30
O (0.4745, 0.0433, 0.7963)  1 C 1.30

***

Entry 6:
Entry from Alexandria via LeMat-Bulk: a crystal of CrRuRh2 relaxed with PBEsol (meta-GGA SCAN).

Volume in Å³/cell: 51.8
Uncorrected energy in eV/atom: -30.267
ΔH_f (0 K) in eV per formula unit: -0.3
M_tot in Bohr magnetons per cell: 1.8
Crystal system: orthorhombic

a = 2.6432 Å, b = 4.5646 Å, c = 4.5646 Å
α = 109.76°, β = 90.00°, γ = 90.00°
Last column: nearest neighbours and their distance in Å.
Fractional positions:
Cr (0.5000, 0.5000, 0.5000)  2 Ru 2.63, 8 Rh 2.64, 2 Cr 2.64
Rh (0.0000, 0.0000, 0.5000)  4 Rh 2.63-2.64, 4 Cr 2.64, 4 Ru 2.64
Ru (0.5000, 0.0000, 0.0000)  2 Cr 2.63, 8 Rh 2.64, 2 Ru 2.64
Rh (0.0000, 0.5000, 0.0000)  4 Rh 2.63-2.64, 4 Ru 2.64, 4 Cr 2.64

***

Entry 7:
Entry from Alexandria via LeMat-Bulk: a crystal of BeGeS2N relaxed with PBEsol (meta-GGA SCAN).

Volume in Å³/cell: 67.5
Uncorrected energy in eV/atom: -9.880
Distance to the lowest polymorph of the same formula in meV per atom: 0
ΔE_f (raw) in eV per atom: 0.52
M_tot in Bohr magnetons per cell: 1.1
Crystal system: tetragonal

a = 3.1983 Å, b = 4.5957 Å, c = 4.5957 Å
α = 90.00°, β = 90.00°, γ = 90.00°
Last column: nearest neighbours and their distance in Å.
Fractional positions:
Be (0.0000, 0.0000, 0.0000)  2 N 1.60
N (0.5000, 0.0000, 0.0000)  2 Be 1.60
S (0.0000, 0.0000, 0.5000)  2 Be 2.30
S (0.0000, 0.5000, 0.0000)  2 Be 2.30
Ge (0.5000, 0.5000, 0.5000)  8 S 2.80

***

Entry 8:
Entry from Alexandria via LeMat-Bulk: a crystal of ZnSnSO2 relaxed with PBEsol (meta-GGA SCAN).

Volume in Å³/cell: 70.9
Uncorrected energy in eV/atom: -14.602
ΔE_f (raw) in eV per atom: -0.30
M_tot in Bohr magnetons per cell: 1.0
Crystal system: tetragonal

a = 3.8726 Å, b = 3.8726 Å, c = 4.7295 Å
α = 90.00°, β = 90.00°, γ = 90.00°
Last column: nearest neighbours and their distance in Å.
Fractional positions:
O (0.5000, 0.0000, 0.0000)  2 Zn 1.94
Zn (0.0000, 0.0000, 0.0000)  4 O 1.94
Sn (0.5000, 0.5000, 0.5000)  4 S 2.74, 8 O 3.06
O (0.0000, 0.5000, 0.0000)  2 Zn 1.94
S (0.0000, 0.0000, 0.5000)  2 Zn 2.36